Material: AlCdSi
Method: DFT, PBE
State: optimized geometry

a b c (Å): 3.6425 2.8164 5.8479
angles (deg): 90.00 104.65 90.00
Atoms (fractional coordinates):
Al 0.0000 0.0000 0.0000
Cd 0.2941 0.5000 0.6286
Si 0.5985 0.5000 0.2356

VASP energy, eV per atom: -3.1068